[1]
## DyTmGa3 (PBE)

Data for a geometry-optimized DyTmGa3 structure.

Cell: 6.959 6.959 6.959 Å, 90.00 90.00 90.00°
Space group Pm-3m (No. 221)
Unique sites:
Dy 0.000 0.000 0.500 (multiplicity 3)
Tm 0.000 0.500 0.500 (multiplicity 3)
Ga 0.000 0.000 0.000 (multiplicity 1)
Ga 0.254 0.254 0.254 (multiplicity 8)

Final energy: -61.088 eV per cell

[2]
## Zn2Os (PBE)

Data for a geometry-optimized Zn2Os structure.

Cell: 7.159 4.457 10.853 Å, 90.00 100.51 90.00°
Space group P2_1/m (No. 11)
Unique sites:
Zn 0.053 0.250 0.065 (multiplicity 2)
Zn 0.062 0.250 0.323 (multiplicity 2)
Zn 0.063 0.250 0.817 (multiplicity 2)
Zn 0.066 0.250 0.576 (multiplicity 2)
Zn 0.285 0.750 0.599 (multiplicity 2)
Zn 0.287 0.750 0.850 (multiplicity 2)
Zn 0.391 0.250 0.985 (multiplicity 2)
Zn 0.392 0.250 0.489 (multiplicity 2)
Os 0.269 0.750 0.346 (multiplicity 2)
Os 0.272 0.750 0.101 (multiplicity 2)
Os 0.380 0.250 0.234 (multiplicity 2)
Os 0.401 0.250 0.739 (multiplicity 2)

ΔE_f: 0.140 eV per atom

[3]
## Re2W13 (PBE)

Data for a geometry-optimized Re2W13 structure.

Cell: 9.735 9.735 5.142 Å, 90.00 90.00 90.00°
Space group P4_2/mnm (No. 136)
Unique sites:
Re 0.098 0.098 0.000 (multiplicity 4)
W 0.000 0.000 0.500 (multiplicity 2)
W 0.037 0.365 0.000 (multiplicity 8)
W 0.064 0.261 0.500 (multiplicity 8)
W 0.186 0.814 0.249 (multiplicity 8)

ΔE_f: 0.198 eV per atom

[4]
## FeTeP (PBE)

Data for a geometry-optimized FeTeP structure.

Cell: 5.108 3.382 5.986 Å, 90.00 92.83 90.00°
Space group P2/m (No. 10)
Unique sites:
Fe 0.000 0.000 0.000 (multiplicity 1)
Fe 0.500 0.500 0.500 (multiplicity 1)
Te 0.212 0.000 0.651 (multiplicity 2)
P 0.315 0.500 0.128 (multiplicity 2)

Final energy: -34.202 eV per cell

[5]
## TcNi2 (PBE)

Data for a geometry-optimized TcNi2 structure.

Cell: 6.075 6.075 2.528 Å, 90.00 90.00 90.00°
Space group P4_2/mnm (No. 136)
Unique sites:
Tc 0.000 0.000 0.000 (multiplicity 2)
Ni 0.240 0.240 0.500 (multiplicity 4)

ΔE_f: 0.982 eV per atom

[6]
## AcTcPd (PBE)

Data for a geometry-optimized AcTcPd structure.

Cell: 6.784 6.784 6.784 Å, 90.00 90.00 90.00°
Space group F-43m (No. 216)
Unique sites:
Ac 0.000 0.000 0.000 (multiplicity 4)
Tc 0.000 0.000 0.500 (multiplicity 4)
Pd 0.250 0.250 0.250 (multiplicity 4)

ΔE_f: 0.462 eV per atom

[7]
## KErPO (PBE)

Data for a geometry-optimized KErPO structure.

Cell: 4.846 7.281 6.375 Å, 90.00 90.00 90.00°
Space group Pmc2_1 (No. 26)
Unique sites:
K 0.000 0.240 0.000 (multiplicity 2)
Er 0.500 0.159 0.555 (multiplicity 2)
P 0.000 0.327 0.490 (multiplicity 2)
O 0.500 0.072 0.865 (multiplicity 2)

Final energy: -43.747 eV per cell

[8]
## ScCuS2 (PBE)

Data for a geometry-optimized ScCuS2 structure.

Cell: 6.338 6.338 6.338 Å, 90.00 90.00 90.00°
Space group Fm-3m (No. 225)
Unique sites:
Sc 0.000 0.000 0.000 (multiplicity 4)
Cu 0.000 0.000 0.500 (multiplicity 4)
S 0.250 0.250 0.250 (multiplicity 8)

Final energy: -85.976 eV per cell

Number 1: calculated volume 22.5 A^3/atom. Number 2: calculated volume 14.2 A^3/atom. Number 3: calculated volume 16.2 A^3/atom. Number 4: calculated volume 17.2 A^3/atom. Number 5: calculated volume 15.5 A^3/atom. Number 6: calculated volume 26.0 A^3/atom. Number 7: calculated volume 28.1 A^3/atom. Number 8: calculated volume 15.9 A^3/atom.